# 1
{
  "formula": "GaTcTe2P",
  "functional": "PBE",
  "state": "optimized geometry",
  "lattice": [[-3.540, 0.547, 3.701], [0.136, -4.714, 0.826], [3.739, 0.715, 3.470]],
  "species": ["Te", "Te", "Ga", "P", "Tc"],
  "fractional_positions": [[0.500, 0.000, 0.000], [0.000, 0.000, 0.500], [0.000, 0.500, 0.000], [0.500, 0.500, 0.500], [0.000, 0.000, 0.000]],
  "formation_energy_uncorrected_ev_per_atom": 0.6454
}

# 2
{
  "formula": "ThGa2Tc2P",
  "functional": "PBE",
  "state": "optimized geometry",
  "lattice": [[-3.714, -2.391, -0.568], [1.623, -3.159, 2.687], [-2.342, 2.581, 4.450]],
  "species": ["Th", "Ga", "P", "Tc", "Tc", "Ga"],
  "fractional_positions": [[0.000, 0.000, 0.500], [0.500, 0.500, 0.727], [0.000, 0.000, 0.000], [0.000, 0.500, 0.000], [0.500, 0.000, 0.000], [0.500, 0.500, 0.273]],
  "delta_e_f_mev_per_atom": -473
}

# 3
{
  "formula": "Ti2GaTcP",
  "functional": "PBE",
  "state": "optimized geometry",
  "lattice": [[4.656, 0.000, 0.000], [0.000, 4.744, 0.000], [0.000, 0.000, 4.656]],
  "species": ["Tc", "Ga", "Ti", "P", "Ti"],
  "fractional_positions": [[0.000, 0.000, 0.000], [0.000, 0.500, 0.000], [0.000, 0.000, 0.500], [0.500, 0.500, 0.500], [0.500, 0.000, 0.000]],
  "delta_e_f_mev_per_atom": 514
}

# 4
{
  "formula": "TlGaTcP2",
  "functional": "PBE",
  "state": "optimized geometry",
  "lattice": [[-0.683, 3.229, -3.395], [-4.472, 0.970, 1.823], [1.864, 3.335, 2.797]],
  "species": ["Ga", "P", "P", "Tl", "Tc"],
  "fractional_positions": [[0.000, 0.000, 0.000], [0.000, 0.000, 0.500], [0.500, 0.000, 0.000], [0.500, 0.500, 0.500], [0.000, 0.500, 0.000]],
  "delta_e_f_mev_per_atom": 1106
}

# 5
{
  "formula": "YGaTcP2",
  "functional": "PBE",
  "state": "optimized geometry",
  "lattice": [[-0.748, 1.084, 4.526], [4.265, -1.418, 1.044], [1.636, 4.353, -0.772]],
  "species": ["Ga", "Y", "P", "P", "Tc"],
  "fractional_positions": [[0.000, 0.000, 0.000], [0.500, 0.500, 0.500], [0.000, 0.000, 0.500], [0.500, 0.000, 0.000], [0.000, 0.500, 0.000]],
  "delta_e_f_mev_per_atom": 512
}

# 6
{
  "formula": "Ga2TeP",
  "functional": "PBE",
  "state": "optimized geometry",
  "lattice": [[0.000, 3.469, 3.469], [3.469, 0.000, 3.469], [3.469, 3.469, 0.000]],
  "species": ["P", "Ga", "Te", "Ga"],
  "fractional_positions": [[0.000, 0.000, 0.000], [0.250, 0.250, 0.250], [0.500, 0.500, 0.500], [0.750, 0.750, 0.750]],
  "formation_energy_uncorrected_ev_per_atom": 0.3029,
  "de_polymorph_ev_per_atom": 0.447
}

Ordered calculated total energy results: -21.86 -42.45 -32.02 -21.05 -28.12 -13.39; unit eV/f.u..